[1]
The following is a DFT calculation (PBE) of an optimized crystal structure of CePrCuSi.

Values from the calculation:
- Volume: 23.46 A^3/atom
- E_form (uncorrected): -0.288 eV/atom

Cell lengths 5.1008, 5.1008, 5.1008 Å; angles 60.00, 60.00, 60.00 degrees
Fractional positions:
Ce  0.0000  0.0000  0.0000
Pr  0.5000  0.5000  0.5000
Cu  0.2500  0.2500  0.2500
Si  0.7500  0.7500  0.7500


[2]
The following is a DFT calculation (PBE) of an optimized crystal structure of KSrTl2.

Values from the calculation:
- Volume: 34.39 A^3/atom
- Formation enthalpy at 0 K: -0.108 eV/atom

Cell lengths 5.7941, 5.7941, 5.7941 Å; angles 60.00, 60.00, 60.00 degrees
Fractional positions:
K  0.0000  0.0000  0.0000
Sr  0.2500  0.2500  0.2500
Tl  0.5000  0.5000  0.5000
Tl  0.7500  0.7500  0.7500


[3]
The following is a DFT calculation (PBE) of an optimized crystal structure of LiMg2Os.

Values from the calculation:
- Volume: 16.34 A^3/atom
- Formation enthalpy at 0 K: 0.128 eV/atom

Cell lengths 2.7793, 4.7038, 4.9983 Å; angles 90.00, 90.00, 90.00 degrees
Fractional positions:
Li  0.0000  0.0000  0.0000
Mg  0.5000  0.0000  0.4552
Mg  0.5000  0.5000  0.8266
Os  0.0000  0.5000  0.3193


[4]
The following is a DFT calculation (PBE) of an optimized crystal structure of Ac4AlAg.

Values from the calculation:
- Volume: 37.26 A^3/atom
- Formation enthalpy at 0 K: -0.095 eV/atom

Cell lengths 9.3212, 9.3212, 9.3212 Å; angles 131.32, 131.32, 71.30 degrees
Fractional positions:
Ac  0.0469  0.5469  0.8549
Ac  0.1920  0.0469  0.5000
Ac  0.3080  0.8080  0.8549
Ac  0.4531  0.3080  0.5000
Ac  0.5469  0.6920  0.5000
Ac  0.6920  0.1920  0.1451
Ac  0.8080  0.9531  0.5000
Ac  0.9531  0.4531  0.1451
Al  0.2500  0.2500  0.0000
Al  0.7500  0.7500  0.0000
Ag  0.0000  0.0000  0.0000
Ag  0.5000  0.5000  0.0000


Per-record DFT total energy, eV per atom: -5.3458, -1.9857, -3.9556, -3.9330